# 1
Computed, not measured: a relaxed structure of SrEr2Se4 at the PBEsol level of DFT.

Calculated values
**E_tot**: -0.42819 Ry/atom
**E_form (uncorrected)**: -1955.0 meV/atom
**Density**: 6.6 g/cm³

Geometry as POSCAR:
```
SrEr2Se4
1.0
12.3475 0.0000 0.0000
0.0000 4.0628 0.0000
0.0000 0.0000 14.7045
Sr Er Se
4 8 16
Direct
0.2403 0.2500 0.1659
0.2597 0.7500 0.6659
0.7403 0.2500 0.3341
0.7597 0.7500 0.8341
0.0638 0.2500 0.3903
0.0819 0.2500 0.9021
0.4181 0.7500 0.4021
0.4362 0.7500 0.8903
0.5638 0.2500 0.1097
0.5819 0.2500 0.5979
0.9181 0.7500 0.0979
0.9362 0.7500 0.6097
0.0258 0.7500 0.7840
0.0899 0.2500 0.5784
0.1309 0.7500 0.0293
0.2059 0.7500 0.3287
0.2941 0.2500 0.8287
0.3691 0.2500 0.5293
0.4101 0.7500 0.0784
0.4742 0.2500 0.2840
0.5258 0.7500 0.7160
0.5899 0.2500 0.9216
0.6309 0.7500 0.4707
0.7059 0.7500 0.1713
0.7941 0.2500 0.6713
0.8691 0.2500 0.9707
0.9101 0.7500 0.4216
0.9742 0.2500 0.2160
```


# 2
Computed, not measured: a relaxed structure of Er5Si4 at the PBEsol level of DFT.

Calculated values
**E_tot**: -0.44768 Ry/atom
**E_form (uncorrected)**: -799.5 meV/atom
**Density**: 8.1 g/cm³

Geometry as POSCAR:
```
Er5Si4
1.0
7.2602 0.0000 0.0000
0.0000 14.2435 0.0000
0.0000 0.0000 7.5337
Er Si
20 16
Direct
0.0247 0.0975 0.1819
0.0247 0.4025 0.1819
0.1512 0.7500 0.5108
0.1792 0.1236 0.6793
0.1792 0.3764 0.6793
0.3208 0.6236 0.1793
0.3208 0.8764 0.1793
0.3488 0.2500 0.0108
0.4753 0.5975 0.6819
0.4753 0.9025 0.6819
0.5247 0.0975 0.3181
0.5247 0.4025 0.3181
0.6512 0.7500 0.9892
0.6792 0.1236 0.8207
0.6792 0.3764 0.8207
0.8208 0.6236 0.3207
0.8208 0.8764 0.3207
0.8488 0.2500 0.4892
0.9753 0.5975 0.8181
0.9753 0.9025 0.8181
0.0235 0.7500 0.1028
0.1500 0.5398 0.4708
0.1500 0.9602 0.4708
0.2298 0.2500 0.3708
0.2702 0.7500 0.8708
0.3500 0.0398 0.9708
0.3500 0.4602 0.9708
0.4765 0.2500 0.6028
0.5235 0.7500 0.3972
0.6500 0.5398 0.0292
0.6500 0.9602 0.0292
0.7298 0.2500 0.1292
0.7702 0.7500 0.6292
0.8500 0.0398 0.5292
0.8500 0.4602 0.5292
0.9765 0.2500 0.8972
```


# 3
Computed, not measured: a relaxed structure of Er2Ti3Si4 at the PBEsol level of DFT.

Calculated values
**E_tot**: -0.53695 Ry/atom
**E_form (uncorrected)**: -882.5 meV/atom
**Density**: 6.4 g/cm³

Geometry as POSCAR:
```
Er2Ti3Si4
1.0
6.9433 0.0000 0.0000
0.0000 6.9433 0.0000
0.0000 0.0000 12.7639
Er Ti Si
8 12 16
Direct
0.0024 0.3398 0.0333
0.1602 0.5024 0.2833
0.3398 0.0024 0.9667
0.4976 0.8398 0.2167
0.5024 0.1602 0.7167
0.6602 0.9976 0.4667
0.8398 0.4976 0.7833
0.9976 0.6602 0.5333
0.0067 0.1521 0.6237
0.1521 0.0067 0.3763
0.1722 0.8278 0.7500
0.3278 0.3278 0.5000
0.3479 0.5067 0.8737
0.4933 0.6521 0.6263
0.5067 0.3479 0.1263
0.6521 0.4933 0.3737
0.6722 0.6722 0.0000
0.8278 0.1722 0.2500
0.8479 0.9933 0.8763
0.9933 0.8479 0.1237
0.0457 0.7076 0.9349
0.1317 0.2031 0.8163
0.2031 0.1317 0.1837
0.2076 0.4543 0.6849
0.2924 0.9543 0.5651
0.2969 0.6317 0.0663
0.3683 0.7031 0.4337
0.4543 0.2076 0.3151
0.5457 0.7924 0.8151
0.6317 0.2969 0.9337
0.7031 0.3683 0.5663
0.7076 0.0457 0.0651
0.7924 0.5457 0.1849
0.7969 0.8683 0.6837
0.8683 0.7969 0.3163
0.9543 0.2924 0.4349
```


# 4
Computed, not measured: a relaxed structure of SmEr3 at the PBEsol level of DFT.

Calculated values
**E_tot**: -0.36433 Ry/atom
**Density**: 9.1 g/cm³
**DFT formation energy**: 0.05 eV/f.u.

Geometry as POSCAR:
```
SmEr3
1.0
7.0537 0.0000 0.0000
-3.5269 6.1087 0.0000
0.0000 0.0000 5.5297
Sm Er
2 6
Direct
0.3333 0.6667 0.2500
0.6667 0.3333 0.7500
0.1659 0.3318 0.7500
0.1659 0.8341 0.7500
0.3318 0.1659 0.2500
0.6682 0.8341 0.7500
0.8341 0.1659 0.2500
0.8341 0.6682 0.2500
```


# 5
Computed, not measured: a relaxed structure of SmEr3 at the PBEsol level of DFT.

Calculated values
**E_tot**: -0.36394 Ry/atom
**Density**: 9.2 g/cm³
**DFT formation energy**: 0.07 eV/f.u.

Geometry as POSCAR:
```
SmEr3
1.0
4.8966 0.0000 0.0000
0.0000 4.8966 0.0000
0.0000 0.0000 9.7736
Sm Er
2 6
Direct
0.0000 0.0000 0.0000
0.5000 0.5000 0.5000
0.0000 0.0000 0.5000
0.0000 0.5000 0.2500
0.0000 0.5000 0.7500
0.5000 0.0000 0.2500
0.5000 0.0000 0.7500
0.5000 0.5000 0.0000
```


# 6
Computed, not measured: a relaxed structure of SmErTl2 at the PBEsol level of DFT.

Calculated values
**E_tot**: -0.31148 Ry/atom
**Density**: 11.5 g/cm³
**DFT formation energy**: -1.67 eV/f.u.

Geometry as POSCAR:
```
SmErTl2
1.0
7.4840 0.0000 0.0000
0.0000 7.4840 0.0000
0.0000 0.0000 7.4840
Sm Er Tl
4 4 8
Direct
0.0000 0.0000 0.0000
0.0000 0.5000 0.5000
0.5000 0.0000 0.5000
0.5000 0.5000 0.0000
0.0000 0.0000 0.5000
0.0000 0.5000 0.0000
0.5000 0.0000 0.0000
0.5000 0.5000 0.5000
0.2500 0.2500 0.2500
0.2500 0.2500 0.7500
0.2500 0.7500 0.2500
0.2500 0.7500 0.7500
0.7500 0.2500 0.2500
0.7500 0.2500 0.7500
0.7500 0.7500 0.2500
0.7500 0.7500 0.7500
```


# 7
Computed, not measured: a relaxed structure of Er5Sn3 at the PBEsol level of DFT.

Calculated values
**E_tot**: -0.39920 Ry/atom
**Density**: 9.4 g/cm³
**DFT formation energy**: -6.04 eV/f.u.

Geometry as POSCAR:
```
Er5Sn3
1.0
8.7527 0.0000 0.0000
-4.3764 7.5801 0.0000
0.0000 0.0000 6.3704
Er Sn
10 6
Direct
0.0000 0.2374 0.2500
0.0000 0.7626 0.7500
0.2374 0.0000 0.2500
0.2374 0.2374 0.7500
0.3333 0.6667 0.0000
0.3333 0.6667 0.5000
0.6667 0.3333 0.0000
0.6667 0.3333 0.5000
0.7626 0.0000 0.7500
0.7626 0.7626 0.2500
0.0000 0.3956 0.7500
0.0000 0.6044 0.2500
0.3956 0.0000 0.7500
0.3956 0.3956 0.2500
0.6044 0.0000 0.2500
0.6044 0.6044 0.7500
```


# 8
Computed, not measured: a relaxed structure of Er2Sn5 at the PBEsol level of DFT.

Calculated values
**E_tot**: -0.36763 Ry/atom
**Density**: 8.8 g/cm³
**DFT formation energy**: -3.86 eV/f.u.

Geometry as POSCAR:
```
Er2Sn5
1.0
4.2999 0.0000 0.0000
0.0000 4.3294 0.0000
0.0000 0.0000 18.7168
Er Sn
4 10
Direct
0.2500 0.2500 0.1291
0.2500 0.7500 0.7011
0.7500 0.2500 0.2989
0.7500 0.7500 0.8709
0.2500 0.2500 0.4226
0.2500 0.2500 0.5771
0.2500 0.2500 0.8442
0.2500 0.7500 0.0011
0.2500 0.7500 0.2651
0.7500 0.2500 0.7349
0.7500 0.2500 0.9989
0.7500 0.7500 0.1558
0.7500 0.7500 0.4229
0.7500 0.7500 0.5774
```


# 9
Computed, not measured: a relaxed structure of Er11Sn10 at the PBEsol level of DFT.

Calculated values
**E_tot**: -0.39497 Ry/atom
**Density**: 9.4 g/cm³
**DFT formation energy**: -16.06 eV/f.u.

Geometry as POSCAR:
```
Er11Sn10
1.0
-5.6875 5.6875 8.3024
5.6875 -5.6875 8.3024
5.6875 5.6875 -8.3024
Er Sn
22 20
Direct
0.0605 0.3117 0.7488
0.1023 0.4341 0.3318
0.1023 0.7705 0.6682
0.1681 0.1681 0.0000
0.2295 0.8977 0.3318
0.3117 0.0605 0.7488
0.3117 0.5630 0.2512
0.3267 0.3267 0.6533
0.3267 0.6733 0.0000
0.4341 0.1023 0.3318
0.4370 0.6883 0.7488
0.5630 0.3117 0.2512
0.5659 0.8977 0.6682
0.6733 0.3267 0.0000
0.6733 0.6733 0.3467
0.6883 0.4370 0.7488
0.6883 0.9395 0.2512
0.7705 0.1023 0.6682
0.8319 0.8319 0.0000
0.8977 0.2295 0.3318
0.8977 0.5659 0.6682
0.9395 0.6883 0.2512
0.0303 0.0303 0.4112
0.0303 0.6191 0.0000
0.1304 0.1304 0.2607
0.1304 0.8696 0.0000
0.1446 0.5000 0.6446
0.2500 0.7500 0.5000
0.3809 0.3809 0.4112
0.3809 0.9697 0.0000
0.3881 0.3881 0.0000
0.5000 0.1446 0.6446
0.5000 0.8554 0.3554
0.6119 0.6119 0.0000
0.6191 0.0303 0.0000
0.6191 0.6191 0.5888
0.7500 0.2500 0.5000
0.8554 0.5000 0.3554
0.8696 0.1304 0.0000
0.8696 0.8696 0.7393
0.9697 0.3809 0.0000
0.9697 0.9697 0.5888
```


# 10
Computed, not measured: a relaxed structure of Er3Sn at the PBEsol level of DFT.

Calculated values
**E_tot**: -0.38127 Ry/atom
**Density**: 9.9 g/cm³
**DFT formation energy**: -1.71 eV/f.u.

Geometry as POSCAR:
```
Er3Sn
1.0
4.5559 0.0000 0.0000
0.0000 4.5559 0.0000
0.0000 0.0000 9.9909
Er Sn
6 2
Direct
0.0000 0.0000 0.0000
0.0000 0.5000 0.2500
0.0000 0.5000 0.7500
0.5000 0.0000 0.2500
0.5000 0.0000 0.7500
0.5000 0.5000 0.5000
0.0000 0.0000 0.5000
0.5000 0.5000 0.0000
```


# 11
Computed, not measured: a relaxed structure of ErZnSn at the PBEsol level of DFT.

Calculated values
**E_tot**: -0.30388 Ry/atom
**Density**: 9.2 g/cm³
**DFT formation energy**: -1.64 eV/f.u.

Geometry as POSCAR:
```
ErZnSn
1.0
4.5627 0.0000 0.0000
-2.2813 3.9514 0.0000
0.0000 0.0000 7.0043
Er Zn Sn
2 2 2
Direct
0.0000 0.0000 0.0000
0.0000 0.0000 0.5000
0.3333 0.6667 0.2500
0.6667 0.3333 0.7500
0.3333 0.6667 0.7500
0.6667 0.3333 0.2500
```


# 12
Computed, not measured: a relaxed structure of ErTe at the PBEsol level of DFT.

Calculated values
**E_tot**: -0.40329 Ry/atom
**E_form (uncorrected)**: -1260.4 meV/atom
**Density**: 9.0 g/cm³

Geometry as POSCAR:
```
ErTe
1.0
6.0104 0.0000 0.0000
0.0000 6.0104 0.0000
0.0000 0.0000 6.0104
Er Te
4 4
Direct
0.0000 0.0000 0.0000
0.0000 0.5000 0.5000
0.5000 0.0000 0.5000
0.5000 0.5000 0.0000
0.0000 0.0000 0.5000
0.0000 0.5000 0.0000
0.5000 0.0000 0.0000
0.5000 0.5000 0.5000
```


- What is the formula in the third record?
  Er2Ti3Si4


- What is the E_tot in the ninth record?
  -0.39497 Ry/atom